Record 1
The following is a PBE-GGA calculation of an optimized crystal structure of MgCdSb, from Alexandria via LeMat-Bulk.

Structure (POSCAR):
```
MgCdSb
1.0
0.0000 2.2901 7.0639
2.2859 0.0000 7.0639
2.2859 2.2901 0.0000
Mg Cd Sb
1 1 1
Cartesian
0.0000 0.0000 0.0000
2.2859 2.2901 9.1292
2.2859 2.2901 4.7911
```

Summary:
The value obtained for the magnetic moment is 0.0 μB/f.u. Its formation energy (no corrections) is -0.80 kcal/mol of atoms. The energy above the most stable polymorph in this dataset comes out at 93.9 meV per atom. As for the space-group type: Fmm2, No. 42. For the density of states at the Fermi level, the calculation gives 0.948 states/eV per cell.

---

Record 2
The following is a PBE-GGA calculation of an optimized crystal structure of Tl4GeS5, from Alexandria via LeMat-Bulk.

Structure (POSCAR):
```
Tl4GeS5
1.0
-4.5160 4.5160 3.1223
4.5160 -4.5160 3.1223
4.5160 4.5160 -3.1223
Tl Ge S
4 1 5
Cartesian
6.2425 0.7974 0.0000
0.7974 2.7894 0.0000
3.7185 1.7266 3.1223
-1.7266 3.7185 3.1223
0.0000 0.0000 2.7504
0.0000 0.0000 0.4633
3.6596 2.2572 0.0879
2.2587 -0.8564 3.2103
2.2572 5.3723 0.0879
0.8564 2.2587 3.2103
```

Summary:
The value obtained for the magnetic moment is 0.0 μB/f.u. Its formation energy (no corrections) is -4.40 kcal/mol of atoms. As for the space-group type: I4, No. 79. For the density of states at the Fermi level, the calculation gives 6.173 states/eV per cell.

---

Record 3
The following is a PBE-GGA calculation of an optimized crystal structure of Hf3Bi, from Alexandria via LeMat-Bulk.

Structure (POSCAR):
```
Hf3Bi
1.0
4.4793 0.0000 0.0000
0.0000 4.4793 0.0000
0.0000 0.0000 4.5154
Hf Bi
3 1
Cartesian
0.0000 0.0000 0.0000
0.0000 2.2396 2.2577
2.2396 0.0000 2.2577
2.2396 2.2396 0.0000
```

Summary:
The value obtained for the magnetic moment is 0.0 μB/f.u. Its calculated formation energy is -0.02 eV/atom. As for the space-group type: P4/mmm, No. 123. For the density of states at the Fermi level, the calculation gives 4.527 states/eV per cell.

---

Record 4
The following is a PBE-GGA calculation of an optimized crystal structure of SrAsAu2S4, from Alexandria via LeMat-Bulk.

Structure (POSCAR):
```
SrAsAu2S4
1.0
-3.1978 3.8516 4.1420
3.1978 -3.8516 4.1420
3.1978 3.8516 -4.1420
Sr As Au S
1 1 2 4
Cartesian
0.0000 0.0000 0.0000
0.0000 3.8516 0.0000
3.1978 2.3298 0.0000
0.0000 1.5219 4.1420
1.3003 2.3920 -1.3607
1.8974 -1.4596 5.5027
1.8974 1.4596 2.7812
1.3003 5.3113 1.3607
```

Summary:
The value obtained for the magnetic moment is 0.0 μB/f.u. Its formation energy (no corrections) is -11.42 kcal/mol of atoms. As for the space-group type: I222, No. 23. For the density of states at the Fermi level, the calculation gives 4.959 states/eV per cell.

---

Record 5
The following is a PBE-GGA calculation of an optimized crystal structure of Pm2Y6Tm, from Alexandria via LeMat-Bulk.

Structure (POSCAR):
```
Pm2Y6Tm
1.0
6.4303 -7.1896 0.0000
6.4303 7.1896 0.0000
-1.5915 0.0000 6.3821
Pm Y Tm
4 12 2
Cartesian
1.2195 0.3445 2.3757
0.4238 -0.3445 5.5667
10.8454 0.3445 0.8153
10.0496 -0.3445 4.0064
1.9349 2.8582 4.6361
4.3732 4.4873 6.3445
6.1002 4.4873 3.2286
4.4099 1.2775 1.2118
2.7307 -2.8582 1.4450
3.6142 -1.2775 4.4028
7.6549 1.2775 1.9792
8.5384 2.8582 4.9370
6.8592 -1.2775 5.1703
5.1689 -4.4873 3.1535
6.8959 -4.4873 0.0375
9.3342 -2.8582 1.7460
5.2367 1.6832 4.7865
6.0324 -1.6832 1.5955
```

Summary:
The value obtained for the magnetic moment is 0.0 μB/f.u. Its calculated formation energy is 0.11 eV/atom. As for the space-group type: C2/c, No. 15. For the density of states at the Fermi level, the calculation gives 23.894 states/eV per cell.

---

Record 6
The following is a PBE-GGA calculation of an optimized crystal structure of TaAl2Se, from Alexandria via LeMat-Bulk.

Structure (POSCAR):
```
TaAl2Se
1.0
-3.6743 3.6743 2.7302
3.6743 -3.6743 2.7302
3.6743 3.6743 -2.7302
Ta Al Se
2 4 2
Cartesian
0.0000 0.0000 0.0000
0.0000 3.6743 1.3651
1.8372 -1.7227 2.0477
1.9516 1.8372 0.6826
1.8372 5.3971 -0.6826
1.7227 1.8372 3.4128
3.6743 0.0000 1.3651
0.0000 0.0000 2.7302
```

Summary:
The value obtained for the magnetic moment is 0.0 μB/f.u. Its formation energy (no corrections) is 6.71 kcal/mol of atoms. As for the space-group type: I-42d, No. 122. For the density of states at the Fermi level, the calculation gives 6.459 states/eV per cell.

---

Record 7
The following is a PBE-GGA calculation of an optimized crystal structure of Tb2HoTmBi5, from Alexandria via LeMat-Bulk.

Structure (POSCAR):
```
Tb2HoTmBi5
1.0
5.3999 0.0000 0.0000
0.0000 5.3999 0.0000
0.0000 0.0000 11.7864
Tb Ho Tm Bi
2 1 1 5
Cartesian
0.0000 0.0000 2.6961
0.0000 0.0000 9.0904
2.6999 2.6999 0.0000
2.6999 2.6999 5.8932
0.0000 0.0000 5.8932
0.0000 2.6999 0.0000
2.6999 0.0000 0.0000
2.6999 2.6999 3.0052
2.6999 2.6999 8.7813
```

Summary:
The value obtained for the magnetic moment is 0.0 μB/f.u. Its calculated formation energy is 0.02 eV/atom. As for the space-group type: P4/mmm, No. 123. For the density of states at the Fermi level, the calculation gives 5.834 states/eV per cell.

---

Record 8
The following is a PBE-GGA calculation of an optimized crystal structure of CaTlB, from Alexandria via LeMat-Bulk.

Structure (POSCAR):
```
CaTlB
1.0
3.7938 0.0000 0.0000
-0.0013 6.3034 0.0000
-0.0003 -2.5459 6.0954
Ca Tl B
2 2 2
Cartesian
-0.0001 0.8480 1.5599
3.7922 2.9095 4.5356
1.8823 3.7748 1.7116
1.9098 -0.0173 4.3838
1.8979 -1.8839 5.7229
1.8942 5.6414 0.3726
```

Summary:
The value obtained for the magnetic moment is 0.0 μB/f.u. Its calculated formation energy is 0.07 eV/atom. As for the space-group type: P-1, No. 2. For the density of states at the Fermi level, the calculation gives 2.155 states/eV per cell.

---

Record 9
The following is a PBE-GGA calculation of an optimized crystal structure of KRb12Ag5, from Alexandria via LeMat-Bulk.

Structure (POSCAR):
```
KRb12Ag5
1.0
-6.1152 6.3793 6.8083
6.1152 -6.3793 6.8083
6.1152 6.3793 -6.8083
K Rb Ag
1 12 5
Cartesian
0.0000 0.0000 0.0000
6.1152 3.8852 -2.7919
3.8711 0.0000 2.4574
8.3593 0.0000 2.4574
2.5895 4.1555 0.0000
3.5257 -2.2238 6.8083
0.0000 2.4941 4.0164
6.1152 3.8852 2.7919
2.5895 8.6031 0.0000
3.5257 2.2238 6.8083
-2.2441 6.3793 4.3509
2.2441 6.3793 4.3509
0.0000 2.4941 9.6002
6.1152 1.4667 0.0000
6.1152 0.0000 5.3829
0.0000 0.0000 6.8083
0.0000 6.3793 1.4254
0.0000 4.9126 6.8083
```

Summary:
The value obtained for the magnetic moment is 0.0 μB/f.u. Its calculated formation energy is 0.05 eV/atom. As for the space-group type: Immm, No. 71. For the density of states at the Fermi level, the calculation gives 8.965 states/eV per cell.

---

Record 10
The following is a PBE-GGA calculation of an optimized crystal structure of RbSmGe2Cl8, from Alexandria via LeMat-Bulk.

Structure (POSCAR):
```
RbSmGe2Cl8
1.0
6.3660 0.0000 0.0000
-0.5993 6.9469 0.0000
-0.0188 -0.5495 9.4273
Rb Sm Ge Cl
1 1 2 8
Cartesian
0.0000 0.0000 0.0000
-0.0094 -0.2747 4.7136
2.5752 3.6633 2.6058
3.1727 2.7341 6.8215
1.2494 1.1576 2.8252
1.0996 4.5110 4.3632
1.6329 0.5586 6.7300
1.3528 4.3398 0.7957
4.3951 2.0576 8.6315
4.1150 5.8389 2.6973
4.6483 1.8864 5.0641
4.4985 5.2399 6.6021
```

Summary:
The value obtained for the magnetic moment is 0.0 μB/f.u. Its formation energy (no corrections) is -34.00 kcal/mol of atoms. As for the space-group type: P-1, No. 2. For the density of states at the Fermi level, the calculation gives 0.000 states/eV per cell.

---

Record 11
The following is a PBE-GGA calculation of an optimized crystal structure of V2BiSb2, from Alexandria via LeMat-Bulk.

Structure (POSCAR):
```
V2BiSb2
1.0
7.8328 0.0000 0.0000
0.0000 7.8328 0.0000
0.0000 0.0000 3.3738
V Bi Sb
4 2 4
Cartesian
1.0929 2.8235 0.0000
2.8235 6.7399 0.0000
5.0093 1.0929 0.0000
6.7399 5.0093 0.0000
0.0000 0.0000 0.0000
3.9164 3.9164 0.0000
1.1433 5.0597 1.6869
2.7731 1.1433 1.6869
5.0597 6.6896 1.6869
6.6896 2.7731 1.6869
```

Summary:
The value obtained for the magnetic moment is 0.8 μB/f.u. Its formation energy (no corrections) is 4.24 kcal/mol of atoms. As for the space-group type: P4/mbm, No. 127. For the density of states at the Fermi level, the calculation gives 9.880 states/eV per cell.

---

Record 12
The following is a PBE-GGA calculation of an optimized crystal structure of YbSi6, from Alexandria via LeMat-Bulk.

Structure (POSCAR):
```
YbSi6
1.0
-3.3483 3.3483 3.3483
3.3483 -3.3483 3.3483
3.3483 3.3483 -3.3483
Yb Si
1 6
Cartesian
0.0000 0.0000 0.0000
3.3483 1.6741 0.0000
3.3483 0.0000 1.6741
1.6741 3.3483 0.0000
1.6741 0.0000 3.3483
0.0000 3.3483 1.6741
0.0000 1.6741 3.3483
```

Summary:
The value obtained for the magnetic moment is 0.2 μB/f.u. Its formation energy (no corrections) is 1.24 kcal/mol of atoms. As for the space-group type: Im-3m, No. 229. For the density of states at the Fermi level, the calculation gives 17.886 states/eV per cell.